## LiGaCoSi (PBE-GGA)

Data for an optimized crystal structure of LiGaCoSi.

Lattice parameters (Å, degrees): 5.748 5.748 5.748 90.00 90.00 90.00
Fractional coordinates of all 16 atoms:
Li 0.000 0.000 0.000
Li 0.000 0.500 0.500
Li 0.500 0.000 0.500
Li 0.500 0.500 0.000
Ga 0.250 0.250 0.250
Ga 0.250 0.750 0.750
Ga 0.750 0.250 0.750
Ga 0.750 0.750 0.250
Co 0.000 0.000 0.500
Co 0.000 0.500 0.000
Co 0.500 0.000 0.000
Co 0.500 0.500 0.500
Si 0.250 0.250 0.750
Si 0.250 0.750 0.250
Si 0.750 0.250 0.250
Si 0.750 0.750 0.750

## Properties
Spin magnetization ... 0.00 μB per formula unit
V ... 189.9 Å³ per cell
DOS(E_F) ... 3.38 states/eV per cell
VASP energy ... -4.667 eV per atom